[1]
Entry from Alexandria via LeMat-Bulk: an optimized crystal structure of Ac2Zn4PdRh3 (PBE).

Output
Energy of formation from the pure elements = -5.67 eV/f.u.
Uncorrected energy = -4.623 eV per atom
V = 19.94 Å³ per atom

Unit cell a=4.348 b=4.348 c=10.547 alpha=90.00 beta=90.00 gamma=90.00
Fractional coordinates of all 10 atoms:
Rh: 0.000 0.500 0.132
Rh: 0.000 0.000 0.500
Rh: 0.500 0.000 0.868
Ac: 0.500 0.000 0.254
Ac: 0.000 0.500 0.746
Pd: 0.500 0.500 0.500
Zn: 0.000 0.500 0.372
Zn: 0.500 0.500 0.000
Zn: 0.500 0.000 0.628
Zn: 0.000 0.000 0.000

***

[2]
Entry from Alexandria via LeMat-Bulk: an optimized crystal structure of Ac3PdRu (PBE).

Output
Energy of formation from the pure elements = -1.91 eV/f.u.
E above lowest polymorph = 0.0106 eV per atom
Uncorrected energy = -5.741 eV per atom
V = 32.87 Å³ per atom

Unit cell a=4.212 b=8.752 c=9.131 alpha=102.40 beta=90.00 gamma=90.00
Fractional coordinates of all 10 atoms:
Ac: 0.750 0.073 0.331
Ac: 0.750 0.272 0.979
Ac: 0.250 0.728 0.021
Ac: 0.750 0.601 0.360
Ac: 0.250 0.927 0.669
Ac: 0.250 0.399 0.640
Ru: 0.750 0.178 0.677
Ru: 0.250 0.822 0.323
Pd: 0.250 0.327 0.251
Pd: 0.750 0.673 0.749